No. 1
{"formula": "YMgScSn", "functional": "PBE", "state": "optimized geometry", "vol_a3_per_atom": 24.24, "formation_enthalpy_0k_mev_per_atom": -383, "lattice": [[-0.4657, -5.0829, -0.7331], [3.3651, -3.2391, 2.1850], [-1.4983, -3.0390, 3.8872]], "species": ["Sn", "Y", "Mg", "Sc"], "fractional_positions": [[0.5000, 0.5000, 0.5000], [0.7500, 0.7500, 0.7500], [0.0000, 0.0000, 0.0000], [0.2500, 0.2500, 0.2500]]}

***

No. 2
{"formula": "ThZr4Cd5", "functional": "PBE", "state": "optimized geometry", "vol_a3_per_atom": 22.77, "formation_enthalpy_0k_mev_per_atom": -89, "lattice": [[-2.8605, -0.7781, 1.2400], [-0.1126, -2.5969, -1.8892], [10.0184, -11.8416, 15.6802]], "species": ["Zr", "Zr", "Th", "Zr", "Cd", "Zr", "Cd", "Cd", "Cd", "Cd"], "fractional_positions": [[0.0000, 0.0000, 0.4035], [0.0000, 0.0000, 0.7894], [0.0000, 0.0000, 0.0000], [0.0000, 0.0000, 0.2106], [0.5000, 0.5000, 0.5000], [0.0000, 0.0000, 0.5965], [0.5000, 0.5000, 0.6932], [0.5000, 0.5000, 0.1142], [0.5000, 0.5000, 0.3068], [0.5000, 0.5000, 0.8858]]}

***

Repeat the first record exactly.
{"formula": "YMgScSn", "functional": "PBE", "state": "optimized geometry", "vol_a3_per_atom": 24.24, "formation_enthalpy_0k_mev_per_atom": -383, "lattice": [[-0.4657, -5.0829, -0.7331], [3.3651, -3.2391, 2.1850], [-1.4983, -3.0390, 3.8872]], "species": ["Sn", "Y", "Mg", "Sc"], "fractional_positions": [[0.5000, 0.5000, 0.5000], [0.7500, 0.7500, 0.7500], [0.0000, 0.0000, 0.0000], [0.2500, 0.2500, 0.2500]]}